Computed, not measured: ErLuAgRu after structural relaxation at the PBE-GGA level of DFT.

D(E_F) ... 0.389 states/eV per atom
Energy ... -91.4 eV per cell
ΔE_f ... -0.41 eV/atom

abc: 6.913 6.913 6.913
angles: 90.00 90.00 90.00
Space group F-43m (No. 216)
Unique sites:
Er1 0.000 0.000 0.000
Lu1 0.000 0.000 0.500
Ag1 0.250 0.250 0.750
Ru1 0.250 0.250 0.250

***

Computed, not measured: ErLuScAg after structural relaxation at the PBE-GGA level of DFT.

D(E_F) ... 0.954 states/eV per atom
Energy ... -72.6 eV per cell
ΔE_f ... 0.03 eV/atom

abc: 7.357 7.357 7.357
angles: 90.00 90.00 90.00
Space group F-43m (No. 216)
Unique sites:
Er1 0.000 0.000 0.000
Lu1 0.000 0.000 0.500
Sc1 0.250 0.250 0.250
Ag1 0.250 0.250 0.750

***

Computed, not measured: SmErLuAg after structural relaxation at the PBE-GGA level of DFT.

D(E_F) ... 0.786 states/eV per atom
Energy ... -65.9 eV per cell
ΔE_f ... 0.04 eV/atom

abc: 7.579 7.579 7.579
angles: 90.00 90.00 90.00
Space group F-43m (No. 216)
Unique sites:
Sm1 0.000 0.000 0.000
Er1 0.000 0.000 0.500
Lu1 0.250 0.250 0.250
Ag1 0.250 0.250 0.750

***

Computed, not measured: TbErLuAg after structural relaxation at the PBE-GGA level of DFT.

D(E_F) ... 0.776 states/eV per atom
Energy ... -65.6 eV per cell
ΔE_f ... 0.04 eV/atom

abc: 7.533 7.533 7.533
angles: 90.00 90.00 90.00
Space group F-43m (No. 216)
Unique sites:
Tb1 0.000 0.000 0.000
Er1 0.000 0.000 0.500
Lu1 0.250 0.250 0.250
Ag1 0.250 0.250 0.750

***

Computed, not measured: ErLuTlAg after structural relaxation at the PBE-GGA level of DFT.

D(E_F) ... 0.588 states/eV per atom
Energy ... -62.4 eV per cell
ΔE_f ... -0.33 eV/atom

abc: 7.338 7.338 7.338
angles: 90.00 90.00 90.00
Space group F-43m (No. 216)
Unique sites:
Er1 0.000 0.000 0.000
Lu1 0.000 0.000 0.500
Tl1 0.250 0.250 0.750
Ag1 0.250 0.250 0.250

***

Computed, not measured: ErTmLuAg after structural relaxation at the PBE-GGA level of DFT.

D(E_F) ... 0.772 states/eV per atom
Energy ... -64.9 eV per cell
ΔE_f ... 0.04 eV/atom

abc: 7.484 7.484 7.484
angles: 90.00 90.00 90.00
Space group F-43m (No. 216)
Unique sites:
Er1 0.000 0.000 0.000
Tm1 0.000 0.000 0.500
Lu1 0.250 0.250 0.750
Ag1 0.250 0.250 0.250

***

Computed, not measured: Er3Mg2Ag after structural relaxation at the PBE-GGA level of DFT.

D(E_F) ... 1.042 states/eV per atom
Energy ... -20.6 eV per cell
ΔE_f ... -0.15 eV/atom

abc: 3.720 3.720 11.002
angles: 90.00 90.00 90.00
Space group P4/mmm (No. 123)
Unique sites:
Er1 0.000 0.000 0.000
Er2 0.000 0.000 0.342
Mg1 0.500 0.500 0.168
Ag1 0.500 0.500 0.500

***

Computed, not measured: ErMgAg4 after structural relaxation at the PBE-GGA level of DFT.

D(E_F) ... 1.160 states/eV per atom
Energy ... -74.5 eV per cell
ΔE_f ... -0.18 eV/atom
Relative energy among the computed polymorphs ... 39.3 meV per atom

abc: 7.892 7.892 7.892
angles: 90.00 90.00 90.00
Space group F-43m (No. 216)
Unique sites:
Er1 0.000 0.000 0.000
Mg1 0.250 0.250 0.750
Ag1 0.125 0.125 0.375

***

Computed, not measured: Er4MgAg after structural relaxation at the PBE-GGA level of DFT.

D(E_F) ... 1.102 states/eV per atom
Energy ... -21.4 eV per cell
ΔE_f ... 0.22 eV/atom

abc: 5.000 5.000 7.407
angles: 90.00 90.00 90.00
Space group P4/mmm (No. 123)
Unique sites:
Er1 0.000 0.500 0.233
Mg1 0.000 0.000 0.500
Ag1 0.500 0.500 0.000

***

Computed, not measured: Er2Mg5Ag after structural relaxation at the PBE-GGA level of DFT.

D(E_F) ... 0.930 states/eV per atom
Energy ... -18.2 eV per cell
ΔE_f ... 0.22 eV/atom

abc: 6.634 6.634 4.981
angles: 90.00 90.00 90.00
Space group P4/mmm (No. 123)
Unique sites:
Er1 0.000 0.500 0.000
Mg1 0.000 0.000 0.000
Mg2 0.279 0.279 0.500
Ag1 0.000 0.000 0.500

***

Computed, not measured: Er5MgAg6 after structural relaxation at the PBE-GGA level of DFT.

D(E_F) ... 0.587 states/eV per atom
Energy ... -90.3 eV per cell
ΔE_f ... -0.30 eV/atom

abc: 5.019 7.172 15.135
angles: 90.00 90.00 90.00
Space group Immm (No. 71)
Unique sites:
Er1 0.000 0.000 0.000
Er2 0.000 0.000 0.334
Er3 0.000 0.500 0.332
Mg1 0.000 0.500 0.000
Ag1 0.000 0.246 0.500
Ag2 0.000 0.252 0.164

***

Computed, not measured: Er3Mg2Ag3 after structural relaxation at the PBE-GGA level of DFT.

D(E_F) ... 0.509 states/eV per atom
Energy ... -54.6 eV per cell
ΔE_f ... -0.23 eV/atom

abc: 3.512 5.167 20.576
angles: 90.00 90.00 90.00
Space group Immm (No. 71)
Unique sites:
Er1 0.000 0.000 0.000
Er2 0.000 0.500 0.123
Mg1 0.000 0.000 0.235
Ag1 0.000 0.000 0.500
Ag2 0.000 0.500 0.375

***

Computed, not measured: ErMg2Ag after structural relaxation at the PBE-GGA level of DFT.

D(E_F) ... 0.639 states/eV per atom
Energy ... -45.1 eV per cell
ΔE_f ... -0.17 eV/atom

abc: 4.686 4.686 16.940
angles: 90.00 90.00 90.00
Space group I4/mmm (No. 139)
Unique sites:
Er1 0.000 0.000 0.139
Mg1 0.000 0.000 0.360
Mg2 0.000 0.500 0.000
Ag1 0.000 0.500 0.250

***

Computed, not measured: ErMg5Ag after structural relaxation at the PBE-GGA level of DFT.

D(E_F) ... 0.791 states/eV per atom
Energy ... -15.9 eV per cell
ΔE_f ... -0.07 eV/atom

abc: 4.670 4.670 7.707
angles: 90.00 90.00 90.00
Space group P4/mmm (No. 123)
Unique sites:
Er1 0.000 0.000 0.000
Mg1 0.000 0.500 0.295
Mg2 0.500 0.500 0.000
Ag1 0.000 0.000 0.500

***

Computed, not measured: Er2Mg5Ag4 after structural relaxation at the PBE-GGA level of DFT.

D(E_F) ... 0.530 states/eV per atom
Energy ... -116.5 eV per cell
ΔE_f ... -0.06 eV/atom

abc: 5.855 12.385 14.422
angles: 90.00 90.00 90.00
Space group Fmmm (No. 69)
Unique sites:
Er1 0.000 0.000 0.158
Mg1 0.000 0.000 0.500
Mg2 0.250 0.250 0.000
Mg3 0.250 0.250 0.250
Ag1 0.000 0.115 0.352

***

Computed, not measured: ErMgAg4 after structural relaxation at the PBE-GGA level of DFT.

D(E_F) ... 0.504 states/eV per atom
Energy ... -33.6 eV per cell
ΔE_f ... 0.13 eV/atom
Relative energy among the computed polymorphs ... 348.9 meV per atom

abc: 6.579 6.577 6.582
angles: 90.00 90.08 90.00
Space group C2/m (No. 12)
Unique sites:
Er1 0.000 0.000 0.000
Mg1 0.000 0.500 0.500
Ag1 0.250 0.250 0.276

***

Computed, not measured: ErMgAg4 after structural relaxation at the PBE-GGA level of DFT.

D(E_F) ... 0.421 states/eV per atom
Energy ... -37.7 eV per cell
ΔE_f ... -0.22 eV/atom
Relative energy among the computed polymorphs ... 0.0 meV per atom

abc: 9.792 3.647 7.116
angles: 90.00 110.55 90.00
Space group C2/m (No. 12)
Unique sites:
Er1 0.000 0.000 0.000
Mg1 0.000 0.000 0.500
Ag1 0.164 0.500 0.345
Ag2 0.169 0.500 0.820

***

Computed, not measured: ErMg2Ag after structural relaxation at the PBE-GGA level of DFT.

D(E_F) ... 0.697 states/eV per atom
Energy ... -21.3 eV per cell
ΔE_f ... -0.02 eV/atom

abc: 5.828 3.268 10.089
angles: 90.00 101.59 90.00
Space group Cm (No. 8)
Unique sites:
Er1 0.000 0.000 0.000
Mg1 0.081 0.500 0.719
Mg2 0.275 0.500 0.282
Ag1 0.179 0.000 0.500

***

Computed, not measured: Er2MgAg2 after structural relaxation at the PBE-GGA level of DFT.

D(E_F) ... 1.036 states/eV per atom
Energy ... -35.5 eV per cell
ΔE_f ... -0.27 eV/atom

abc: 7.894 7.894 3.851
angles: 90.00 90.00 90.00
Space group P4/mbm (No. 127)
Unique sites:
Er1 0.168 0.332 0.000
Mg1 0.000 0.000 0.500
Ag1 0.131 0.631 0.500

***

Computed, not measured: ErMg5Ag6 after structural relaxation at the PBE-GGA level of DFT.

D(E_F) ... 0.311 states/eV per atom
Energy ... -32.5 eV per cell
ΔE_f ... -0.24 eV/atom

abc: 4.790 6.825 7.515
angles: 90.00 107.89 90.00
Space group P2/m (No. 10)
Unique sites:
Er1 0.000 0.000 0.000
Mg1 0.000 0.500 0.000
Mg2 0.328 0.000 0.662
Mg3 0.332 0.500 0.675
Ag1 0.178 0.261 0.343
Ag2 0.500 0.261 0.000

***

Computed, not measured: ErMg2Ag after structural relaxation at the PBE-GGA level of DFT.

D(E_F) ... 0.396 states/eV per atom
Energy ... -43.4 eV per cell
ΔE_f ... -0.06 eV/atom

abc: 7.041 7.041 7.041
angles: 90.00 90.00 90.00
Space group Fm-3m (No. 225)
Unique sites:
Er1 0.000 0.000 0.000
Mg1 0.250 0.250 0.250
Ag1 0.000 0.000 0.500

***

Computed, not measured: Er3Mg4Ag4 after structural relaxation at the PBE-GGA level of DFT.

D(E_F) ... 0.735 states/eV per atom
Energy ... -67.5 eV per cell
ΔE_f ... -0.21 eV/atom

abc: 3.928 8.214 15.681
angles: 90.00 90.00 90.00
Space group Immm (No. 71)
Unique sites:
Er1 0.000 0.000 0.000
Er2 0.000 0.500 0.112
Mg1 0.000 0.310 0.331
Ag1 0.000 0.000 0.240
Ag2 0.000 0.197 0.500

***

Computed, not measured: ErMgAg6 after structural relaxation at the PBE-GGA level of DFT.

D(E_F) ... 0.336 states/eV per atom
Energy ... -49.5 eV per cell
ΔE_f ... -0.19 eV/atom
Relative energy among the computed polymorphs ... 0.0 meV per atom

abc: 9.608 4.139 8.568
angles: 90.00 116.35 90.00
Space group C2/m (No. 12)
Unique sites:
Er1 0.000 0.000 0.000
Mg1 0.000 0.000 0.500
Ag1 0.001 0.500 0.740
Ag2 0.246 0.000 0.869
Ag3 0.249 0.500 0.620

***

Computed, not measured: ErMg3Ag after structural relaxation at the PBE-GGA level of DFT.

D(E_F) ... 0.741 states/eV per atom
Energy ... -51.4 eV per cell
ΔE_f ... -0.13 eV/atom
Relative energy among the computed polymorphs ... 9.8 meV per atom

abc: 9.488 3.851 12.835
angles: 90.00 90.00 90.00
Space group Pnma (No. 62)
Unique sites:
Er1 0.163 0.250 0.004
Mg1 0.062 0.250 0.414
Mg2 0.084 0.750 0.215
Mg3 0.164 0.750 0.789
Ag1 0.147 0.250 0.627

***

Computed, not measured: Er5MgAg after structural relaxation at the PBE-GGA level of DFT.

D(E_F) ... 1.104 states/eV per atom
Energy ... -103.7 eV per cell
ΔE_f ... 0.19 eV/atom

abc: 8.822 9.221 11.422
angles: 90.00 111.62 90.00
Space group C2/c (No. 15)
Unique sites:
Er1 0.000 0.105 0.250
Er2 0.145 0.227 0.705
Er3 0.199 0.073 0.018
Mg1 0.000 0.449 0.250
Ag1 0.250 0.250 0.500